Record 1
# BaTi3Cu2S8

BaTi3Cu2S8 after structural relaxation (GGA-PBE, the Alexandria database).

The space group is R3m (No. 160, hexagonal axes) and the conventional cell measures 7.2356, 7.2356 and 23.2375 Å, with angles of 90.00, 90.00 and 120.00 degrees. The asymmetric unit holds Ba at (0.0000, 0.0000, 0.0000), Ti at (0.0029, 0.5015, 0.8587), Cu at (0.0000, 0.0000, 0.4265), Cu at (0.0000, 0.0000, 0.7830), S at (0.0000, 0.0000, 0.1319), S at (0.0000, 0.0000, 0.5809), S at (0.0093, 0.5046, 0.1285) and S at (0.1779, 0.3557, 0.9127).

Its formation energy without anion corrections is -1.047 eV/atom. Its volume is 1053.6 Å³/cell. As for the mass density: 3.1 g/cm³. The calculation puts the density of states at the Fermi level at 2.89 states/eV/f.u.

=====

Record 2
# Nd2PaSn

Nd2PaSn after structural relaxation (GGA-PBE, the Alexandria database).

The space group is P4/mmm (No. 123) and the conventional cell measures 4.934, 4.934 and 4.652 Å, with angles of 90.00, 90.00 and 90.00 degrees. The asymmetric unit holds Nd at (0.000, 0.500, 0.000), Pa at (0.000, 0.000, 0.500) and Sn at (0.500, 0.500, 0.500).

The energy of formation from the pure elements comes out at -0.19 eV per atom. Its volume is 113.3 Å³/cell. As for the mass density: 9.4 g/cm³. The calculation puts the density of states at the Fermi level at 5.49 states/eV/f.u.

=====

Record 3
# DyNpN2

DyNpN2 after structural relaxation (GGA-PBE, the Alexandria database).

The space group is R3m (No. 160, hexagonal axes) and the conventional cell measures 3.3704, 3.3704 and 18.0944 Å, with angles of 90.00, 90.00 and 120.00 degrees. The asymmetric unit holds Dy at (0.0000, 0.0000, 0.0000), Np at (0.0000, 0.0000, 0.8285), N at (0.0000, 0.0000, 0.4109) and N at (0.0000, 0.0000, 0.5794).

Its formation energy without anion corrections is -1.170 eV/atom. Its volume is 178.0 Å³/cell. As for the mass density: 12.0 g/cm³. The calculation puts the density of states at the Fermi level at 4.49 states/eV/f.u.

=====

Record 4
# SrGaP2F

SrGaP2F after structural relaxation (GGA-PBE, the Alexandria database).

The space group is P4/mmm (No. 123) and the conventional cell measures 5.996, 5.996 and 4.522 Å, with angles of 90.00, 90.00 and 90.00 degrees. The asymmetric unit holds Sr at (0.000, 0.000, 0.000), Ga at (0.500, 0.500, 0.500), P at (0.000, 0.500, 0.000) and F at (0.000, 0.000, 0.500).

Its formation energy without anion corrections is -0.113 eV/atom. Its volume is 162.6 Å³/cell. As for the mass density: 2.4 g/cm³. The calculation puts the density of states at the Fermi level at 2.64 states/eV/f.u.

=====

Record 5
# AcLa3Pm5

AcLa3Pm5 after structural relaxation (GGA-PBE, the Alexandria database).

The space group is C2/m (No. 12) and the conventional cell measures 11.545, 8.338 and 14.410 Å, with angles of 90.00, 94.84 and 90.00 degrees. The asymmetric unit holds Ac at (0.036, 0.000, 0.250), La at (0.000, 0.000, 0.000), La at (0.000, 0.000, 0.500), La at (0.140, 0.500, 0.501), La at (0.233, 0.000, 0.885), Pm at (0.000, 0.323, 0.000), Pm at (0.012, 0.500, 0.255), Pm at (0.221, 0.218, 0.668) and Pm at (0.236, 0.500, 0.884).

The energy of formation from the pure elements comes out at 0.29 eV per atom. Its volume is 1382.2 Å³/cell. As for the mass density: 6.6 g/cm³. The calculation puts the density of states at the Fermi level at 11.92 states/eV/f.u.

=====

Record 6
# TcSb2Au

TcSb2Au after structural relaxation (GGA-PBE, the Alexandria database).

The space group is C2/m (No. 12) and the conventional cell measures 8.789, 3.407 and 5.575 Å, with angles of 90.00, 100.66 and 90.00 degrees. The asymmetric unit holds Tc at (0.000, 0.000, 0.000), Sb at (0.231, 0.500, 0.224) and Au at (0.000, 0.500, 0.500).

Its formation energy without anion corrections is 0.275 eV/atom. Its volume is 164.0 Å³/cell. As for the mass density: 10.9 g/cm³. The calculation puts the density of states at the Fermi level at 2.36 states/eV/f.u.

=====

Record 7
# GaI

GaI after structural relaxation (GGA-PBE, the Alexandria database).

The space group is Pm-3n (No. 223) and the conventional cell measures 9.088, 9.088 and 9.088 Å, with angles of 90.00, 90.00 and 90.00 degrees. The asymmetric unit holds Ga at (0.000, 0.250, 0.500) and I at (0.000, 0.500, 0.250).

Its formation energy without anion corrections is -0.237 eV/atom. Its volume is 750.5 Å³/cell. As for the mass density: 2.6 g/cm³. The calculation puts the density of states at the Fermi level at 0.00 states/eV/f.u.

=====

Record 8
# YTl

YTl after structural relaxation (GGA-PBE, the Alexandria database).

The space group is Fm-3m (No. 225) and the conventional cell measures 6.275, 6.275 and 6.275 Å, with angles of 90.00, 90.00 and 90.00 degrees. The asymmetric unit holds Y at (0.000, 0.000, 0.000) and Tl at (0.000, 0.000, 0.500).

The energy of formation from the pure elements comes out at -0.09 eV per atom. Its volume is 247.1 Å³/cell. As for the mass density: 7.9 g/cm³. The calculation puts the density of states at the Fermi level at 4.14 states/eV/f.u.

=====

Record 9
# PrY3S

PrY3S after structural relaxation (GGA-PBE, the Alexandria database).

The space group is Pm-3m (No. 221) and the conventional cell measures 5.351, 5.351 and 5.351 Å, with angles of 90.00, 90.00 and 90.00 degrees. The asymmetric unit holds Pr at (0.000, 0.000, 0.000), Y at (0.000, 0.500, 0.500) and S at (0.500, 0.500, 0.500).

Its formation energy without anion corrections is -0.672 eV/atom. Its volume is 153.2 Å³/cell. As for the mass density: 4.8 g/cm³. The calculation puts the density of states at the Fermi level at 9.90 states/eV/f.u.

=====

Record 10
# CePm2Be

CePm2Be after structural relaxation (GGA-PBE, the Alexandria database).

The space group is P4/mmm (No. 123) and the conventional cell measures 3.512, 3.512 and 8.594 Å, with angles of 90.00, 90.00 and 90.00 degrees. The asymmetric unit holds Ce at (0.000, 0.000, 0.000), Pm at (0.500, 0.500, 0.301) and Be at (0.000, 0.000, 0.500).

The energy of formation from the pure elements comes out at 0.15 eV per atom. Its volume is 106.0 Å³/cell. As for the mass density: 6.9 g/cm³. The calculation puts the density of states at the Fermi level at 6.61 states/eV/f.u.

=====

Record 11
# PRh3I

PRh3I after structural relaxation (GGA-PBE, the Alexandria database).

The space group is Pm-3m (No. 221) and the conventional cell measures 4.495, 4.495 and 4.495 Å, with angles of 90.00, 90.00 and 90.00 degrees. The asymmetric unit holds P at (0.000, 0.000, 0.000), Rh at (0.000, 0.000, 0.500) and I at (0.500, 0.500, 0.500).

Its formation energy without anion corrections is 0.209 eV/atom. Its volume is 90.8 Å³/cell. As for the mass density: 8.5 g/cm³. The calculation puts the density of states at the Fermi level at 6.45 states/eV/f.u.

=====

Record 12
# K3Y3SbO8

K3Y3SbO8 after structural relaxation (GGA-PBE, the Alexandria database).

The space group is R-3m (No. 166, hexagonal axes) and the conventional cell measures 6.8940, 6.8940 and 19.0020 Å, with angles of 90.00, 90.00 and 120.00 degrees. The asymmetric unit holds K at (0.0000, 0.5000, 0.0000), Y at (0.0000, 0.5000, 0.5000), Sb at (0.0000, 0.0000, 0.5000), O at (0.0000, 0.0000, 0.2268) and O at (0.0200, 0.5100, 0.2253).

Its formation energy without anion corrections is -2.468 eV/atom. Its volume is 782.1 Å³/cell. As for the mass density: 4.0 g/cm³. The calculation puts the density of states at the Fermi level at 1.90 states/eV/f.u.